[1]
# Tm3Pb5S12 PBE relaxed
data_Tm3Pb5S12
_chemical_formula_sum 'Tm12 Pb20 S48'
_space_group_name_H-M_alt 'P 1'
_space_group_IT_number 1
_cell_length_a 14.0122
_cell_length_b 14.0122
_cell_length_c 14.0122
_cell_angle_alpha 109.47
_cell_angle_beta 109.47
_cell_angle_gamma 109.47
loop_
_space_group_symop_operation_xyz
'x,y,z'
loop_
_atom_site_label
_atom_site_type_symbol
_atom_site_fract_x
_atom_site_fract_y
_atom_site_fract_z
_atom_site_occupancy
Tm1 Tm 0.1250 0.2500 0.3750 1
Tm2 Tm 0.1250 0.3750 0.7500 1
Tm3 Tm 0.2500 0.3750 0.1250 1
Tm4 Tm 0.2500 0.8750 0.6250 1
Tm5 Tm 0.3750 0.1250 0.2500 1
Tm6 Tm 0.3750 0.7500 0.1250 1
Tm7 Tm 0.6250 0.2500 0.8750 1
Tm8 Tm 0.6250 0.8750 0.7500 1
Tm9 Tm 0.7500 0.1250 0.3750 1
Tm10 Tm 0.7500 0.6250 0.8750 1
Tm11 Tm 0.8750 0.6250 0.2500 1
Tm12 Tm 0.8750 0.7500 0.6250 1
Pb1 Pb 0.0000 0.0000 0.0000 1
Pb2 Pb 0.0000 0.0000 0.5000 1
Pb3 Pb 0.0000 0.5000 0.0000 1
Pb4 Pb 0.0000 0.5000 0.5000 1
Pb5 Pb 0.1250 0.7500 0.8750 1
Pb6 Pb 0.1250 0.8750 0.2500 1
Pb7 Pb 0.2500 0.1250 0.8750 1
Pb8 Pb 0.2500 0.6250 0.3750 1
Pb9 Pb 0.3750 0.2500 0.6250 1
Pb10 Pb 0.3750 0.6250 0.7500 1
Pb11 Pb 0.5000 0.0000 0.0000 1
Pb12 Pb 0.5000 0.0000 0.5000 1
Pb13 Pb 0.5000 0.5000 0.0000 1
Pb14 Pb 0.5000 0.5000 0.5000 1
Pb15 Pb 0.6250 0.3750 0.2500 1
Pb16 Pb 0.6250 0.7500 0.3750 1
Pb17 Pb 0.7500 0.3750 0.6250 1
Pb18 Pb 0.7500 0.8750 0.1250 1
Pb19 Pb 0.8750 0.1250 0.7500 1
Pb20 Pb 0.8750 0.2500 0.1250 1
S1 S 0.0599 0.2307 0.1451 1
S2 S 0.0599 0.3293 0.9148 1
S3 S 0.0852 0.6451 0.4145 1
S4 S 0.0852 0.9401 0.6707 1
S5 S 0.0855 0.7307 0.6707 1
S6 S 0.0855 0.8549 0.4148 1
S7 S 0.1451 0.0599 0.2307 1
S8 S 0.1451 0.5852 0.9145 1
S9 S 0.1707 0.2307 0.5855 1
S10 S 0.1707 0.4401 0.5852 1
S11 S 0.2307 0.1451 0.0599 1
S12 S 0.2307 0.5855 0.1707 1
S13 S 0.2693 0.3293 0.9145 1
S14 S 0.2693 0.4401 0.3549 1
S15 S 0.3293 0.9145 0.2693 1
S16 S 0.3293 0.9148 0.0599 1
S17 S 0.3549 0.2693 0.4401 1
S18 S 0.3549 0.5855 0.9148 1
S19 S 0.4145 0.0852 0.6451 1
S20 S 0.4145 0.8293 0.7693 1
S21 S 0.4148 0.0855 0.8549 1
S22 S 0.4148 0.8293 0.5599 1
S23 S 0.4401 0.3549 0.2693 1
S24 S 0.4401 0.5852 0.1707 1
S25 S 0.5599 0.4148 0.8293 1
S26 S 0.5599 0.6451 0.7307 1
S27 S 0.5852 0.1707 0.4401 1
S28 S 0.5852 0.9145 0.1451 1
S29 S 0.5855 0.1707 0.2307 1
S30 S 0.5855 0.9148 0.3549 1
S31 S 0.6451 0.4145 0.0852 1
S32 S 0.6451 0.7307 0.5599 1
S33 S 0.6707 0.0852 0.9401 1
S34 S 0.6707 0.0855 0.7307 1
S35 S 0.7307 0.5599 0.6451 1
S36 S 0.7307 0.6707 0.0855 1
S37 S 0.7693 0.4145 0.8293 1
S38 S 0.7693 0.8549 0.9401 1
S39 S 0.8293 0.5599 0.4148 1
S40 S 0.8293 0.7693 0.4145 1
S41 S 0.8549 0.4148 0.0855 1
S42 S 0.8549 0.9401 0.7693 1
S43 S 0.9145 0.1451 0.5852 1
S44 S 0.9145 0.2693 0.3293 1
S45 S 0.9148 0.0599 0.3293 1
S46 S 0.9148 0.3549 0.5855 1
S47 S 0.9401 0.6707 0.0852 1
S48 S 0.9401 0.7693 0.8549 1
# Volume, Å³/atom: 26.473
# Formation energy from raw total energies, eV per atom: -0.75

[2]
# Tm2PbS PBE relaxed
data_Tm2PbS
_chemical_formula_sum 'Tm2 Pb1 S1'
_space_group_name_H-M_alt 'P 1'
_space_group_IT_number 1
_cell_length_a 3.7974
_cell_length_b 3.7974
_cell_length_c 8.0837
_cell_angle_alpha 103.26
_cell_angle_beta 103.26
_cell_angle_gamma 59.88
loop_
_space_group_symop_operation_xyz
'x,y,z'
loop_
_atom_site_label
_atom_site_type_symbol
_atom_site_fract_x
_atom_site_fract_y
_atom_site_fract_z
_atom_site_occupancy
Tm1 Tm 0.2309 0.2309 0.1974 1
Tm2 Tm 0.7691 0.7691 0.8026 1
Pb1 Pb 0.0000 0.0000 0.5000 1
S1 S 0.5000 0.5000 0.0000 1
# Volume, Å³/atom: 24.308
# Formation energy from raw total energies, eV per atom: -1.16

Number 1: size of the total moment 0.0 μB/cell. Number 2: size of the total moment 0.0 μB/cell.